The following is a PBE-GGA calculation of a relaxed EuSb2Pb crystal, from Alexandria via LeMat-Bulk.

Structure (POSCAR):
```
EuSb2Pb
1.0
-2.7034 -2.6116 -1.9833
2.1384 0.5447 -3.6322
3.8666 -5.1454 1.5048
Pb Eu Sb
1 1 2
Direct
0.5000 0.5000 0.0000
0.5000 0.5000 0.5000
0.0000 0.0000 0.7426
0.0000 0.0000 0.2574
```

Results
- V: 29.847 Å³ per atom
- Formation energy without anion corrections: -0.444 eV per atom
- Crystal system: tetragonal
- DOS at the Fermi energy: 4.60 states/eV per cell
- ΔE to the lowest computed polymorph: 0.033 eV per atom

---

The following is a PBE-GGA calculation of a relaxed KSmSnTe3 crystal, from Alexandria via LeMat-Bulk.

Structure (POSCAR):
```
KSmSnTe3
1.0
4.4745 0.0000 0.0000
0.0000 9.2860 -0.4888
0.0000 -2.9820 11.5007
Te K Sm Sn
6 2 2 2
Direct
0.2500 0.6087 0.8883
0.2500 0.1059 0.7913
0.7500 0.3517 0.5716
0.2500 0.6483 0.4284
0.7500 0.3913 0.1117
0.7500 0.8941 0.2087
0.2500 0.2242 0.2674
0.7500 0.7758 0.7326
0.7500 0.3625 0.8432
0.2500 0.6375 0.1568
0.7500 0.8689 0.4445
0.2500 0.1311 0.5555
```

Results
- V: 39.278 Å³ per atom
- Formation energy without anion corrections: -1.003 eV per atom
- Crystal system: monoclinic

---

The following is a PBE-GGA calculation of a relaxed Nb2FeHRu crystal, from Alexandria via LeMat-Bulk.

Structure (POSCAR):
```
Nb2FeHRu
1.0
-0.5829 3.2521 -2.6038
-3.7295 0.7643 1.7895
1.6186 2.2287 2.4213
Nb Fe Ru H
2 1 1 1
Direct
0.0000 0.5000 0.0000
0.5000 0.0000 0.0000
0.5000 0.5000 0.5000
0.0000 0.0000 0.5000
0.0000 0.0000 0.0000
```

Results
- V: 12.979 Å³ per atom
- Crystal system: tetragonal
- DOS at the Fermi energy: 3.77 states/eV per cell
- ΔE to the lowest computed polymorph: 0.069 eV per atom